# 1
# Pm2YHg7, optimized geometry, DFT PBE
data_Pm2YHg7
_chemical_formula_sum 'Pm2 Y1 Hg7'
_space_group_name_H-M_alt 'P 3 m 1'
_space_group_IT_number 156
_cell_length_a 5.0137
_cell_length_b 5.0137
_cell_length_c 12.2974
_cell_angle_alpha 90.00
_cell_angle_beta 90.00
_cell_angle_gamma 120.00
loop_
_space_group_symop_operation_xyz
'x,y,z'
'-y,x-y,z'
'-x+y,-x,z'
'-y,-x,z'
'-x+y,y,z'
'x,x-y,z'
loop_
_atom_site_label
_atom_site_type_symbol
_atom_site_fract_x
_atom_site_fract_y
_atom_site_fract_z
_atom_site_occupancy
Pm1 Pm 0.0000 0.0000 0.0000 1
Pm2 Pm 0.3333 0.6667 0.6760 1
Y1 Y 0.6667 0.3333 0.3169 1
Hg1 Hg 0.0000 0.0000 0.2444 1
Hg2 Hg 0.0000 0.0000 0.4987 1
Hg3 Hg 0.0000 0.0000 0.7564 1
Hg4 Hg 0.3333 0.6667 0.1309 1
Hg5 Hg 0.3333 0.6667 0.4041 1
Hg6 Hg 0.6667 0.3333 0.5828 1
Hg7 Hg 0.6667 0.3333 0.8652 1
# mass density: 11.06 Mg/m³
# DFT formation energy: -0.314 eV/atom
# D(E_F): 4.12 states/eV/cell

# 2
# Al2CrSb, optimized geometry, DFT PBE
data_Al2CrSb
_chemical_formula_sum 'Al4 Cr2 Sb2'
_space_group_name_H-M_alt 'C 1 m 1'
_space_group_IT_number 8
_cell_length_a 9.222
_cell_length_b 3.061
_cell_length_c 5.185
_cell_angle_alpha 90.00
_cell_angle_beta 99.32
_cell_angle_gamma 90.00
loop_
_space_group_symop_operation_xyz
'x,y,z'
'x,-y,z'
'x+1/2,y+1/2,z'
'x+1/2,-y+1/2,z'
loop_
_atom_site_label
_atom_site_type_symbol
_atom_site_fract_x
_atom_site_fract_y
_atom_site_fract_z
_atom_site_occupancy
Al1 Al 0.000 0.000 0.000 1
Al2 Al 0.249 0.500 0.211 1
Cr1 Cr 0.264 0.000 0.782 1
Sb1 Sb 0.021 0.500 0.527 1
# mass density: 5.24 Mg/m³
# formation energy (no corrections): 226 meV/atom
# D(E_F): 4.78 states/eV/cell

# 3
# Ac2LaCe, optimized geometry, DFT PBE
data_Ac2LaCe
_chemical_formula_sum 'Ac8 La4 Ce4'
_space_group_name_H-M_alt 'F m -3 m'
_space_group_IT_number 225
_space_group_name_Hall '-F 4 2 3'
_cell_length_a 8.618
_cell_length_b 8.618
_cell_length_c 8.618
_cell_angle_alpha 90.00
_cell_angle_beta 90.00
_cell_angle_gamma 90.00
loop_
_atom_site_label
_atom_site_type_symbol
_atom_site_fract_x
_atom_site_fract_y
_atom_site_fract_z
_atom_site_occupancy
Ac1 Ac 0.250 0.250 0.250 1
La1 La 0.000 0.000 0.000 1
Ce1 Ce 0.000 0.000 0.500 1
# mass density: 7.61 Mg/m³
# DFT formation energy: 0.215 eV/atom
# D(E_F): 47.01 states/eV/cell

# 4
# AcTmZn2Si2, optimized geometry, DFT PBE
data_AcTmZn2Si2
_chemical_formula_sum 'Ac1 Tm1 Zn2 Si2'
_space_group_name_H-M_alt 'P -3 m 1'
_space_group_IT_number 164
_space_group_name_Hall '-P 3 2"'
_cell_length_a 4.1871
_cell_length_b 4.1871
_cell_length_c 8.5570
_cell_angle_alpha 90.00
_cell_angle_beta 90.00
_cell_angle_gamma 120.00
loop_
_atom_site_label
_atom_site_type_symbol
_atom_site_fract_x
_atom_site_fract_y
_atom_site_fract_z
_atom_site_occupancy
Ac1 Ac 0.0000 0.0000 0.0000 1
Tm1 Tm 0.0000 0.0000 0.5000 1
Zn1 Zn 0.3333 0.6667 0.7258 1
Si1 Si 0.3333 0.6667 0.2789 1
# mass density: 7.45 Mg/m³
# formation energy (no corrections): -566 meV/atom
# D(E_F): 3.88 states/eV/cell